[1]
# CsRbV2 | Alexandria | PBE-GGA | relaxed
# Energy above the lowest structure with this stoichiometry: 0.000 eV per formula unit
data_CsRbV2
_chemical_formula_sum 'Cs4 Rb4 V8'
_cell_length_a 8.790
_cell_length_b 8.790
_cell_length_c 8.790
_cell_angle_alpha 90.00
_cell_angle_beta 90.00
_cell_angle_gamma 90.00
_symmetry_space_group_name_H-M 'F m -3 m'
_symmetry_Int_Tables_number 225
_symmetry_space_group_name_Hall '-F 4 2 3'
loop_
_atom_site_label
_atom_site_type_symbol
_atom_site_fract_x
_atom_site_fract_y
_atom_site_fract_z
Cs1 Cs 0.000 0.000 0.000
Rb1 Rb 0.000 0.000 0.500
V1 V 0.250 0.250 0.250

[2]
## CsRbW2 (PBE-GGA)

Data for a relaxed structure of CsRbW2.

Structure (CIF):
```
data_CsRbW2
_chemical_formula_sum 'Cs4 Rb4 W8'
_cell_length_a 7.390
_cell_length_b 7.390
_cell_length_c 7.390
_cell_angle_alpha 90.00
_cell_angle_beta 90.00
_cell_angle_gamma 90.00
_symmetry_space_group_name_H-M 'F m -3 m'
_symmetry_Int_Tables_number 225
_symmetry_space_group_name_Hall '-F 4 2 3'
loop_
_atom_site_label
_atom_site_type_symbol
_atom_site_fract_x
_atom_site_fract_y
_atom_site_fract_z
Cs1 Cs 0.000 0.000 0.000
Rb1 Rb 0.000 0.000 0.500
W1 W 0.250 0.250 0.250
```

no.,theoretical density (g/cm³),E (eV per atom)
1,3.13,-3.2395
2,9.64,-3.4718